<1>
The following is a DFT calculation (PBE) of PaBRu after structural relaxation.

Cell: 3.7805 3.7805 3.9250 Å, 90.00 90.00 120.00°
Last column: nearest neighbours and their distance in Å.
Space group P-6m2 (No. 187)
Asymmetric unit:
Pa: 0.0000 0.0000 0.0000  6 B 2.94, 6 Ru 2.94
B: 0.3333 0.6667 0.5000  3 Ru 2.18
Ru: 0.6667 0.3333 0.5000  3 B 2.18

## Properties
* total moment: 0.0 Bohr magnetons per cell
* mass density: 11.7 g/cm3

<2>
The following is a DFT calculation (PBE) of PaBRu after structural relaxation.

Cell: 12.6025 3.1365 4.9754 Å, 90.00 110.14 90.00°
Last column: nearest neighbours and their distance in Å.
Space group C2/m (No. 12)
Asymmetric unit:
Pa: 0.1247 0.0000 0.2855  4 B 2.70-2.82, 4 Ru 2.90-3.00
B: 0.2338 0.0000 0.8763  2 B 1.95
Ru: 0.1043 0.5000 0.7557  3 B 2.19-2.22

## Properties
* total moment: 0.0 Bohr magnetons per cell
* mass density: 12.3 g/cm3

Relative calculated energies, zero for the most stable structure, unit kJ/mol of atoms: <1> 10.8; <2> 0.0.

<1>
The following is a DFT calculation (PBE) of PaBS after structural relaxation.

Cell: 5.1914 5.1912 9.1671 Å, 90.00 90.07 90.00°
Last column: nearest neighbours and their distance in Å.
Space group C2/m (No. 12)
Asymmetric unit:
Pa: 0.2503 0.0000 0.1548  5 B 2.38-2.64
B: 0.2499 0.0000 0.8951  1 S 1.87
S: 0.2492 0.0000 0.6910  1 B 1.87

## Properties
* total moment: 0.0 Bohr magnetons per cell
* mass density: 7.4 g/cm3

<2>
The following is a DFT calculation (PBE) of PaBS after structural relaxation.

Cell: 7.9725 3.2849 7.7291 Å, 90.00 90.00 90.00°
Last column: nearest neighbours and their distance in Å.
Space group Pnma (No. 62)
Asymmetric unit:
Pa: 0.1574 0.2500 0.2334  3 B 2.65-2.73, 5 S 2.71-2.81
B: 0.0156 0.7500 0.4744  2 B 1.71
S: 0.1081 0.2500 0.8735  5 Pa 2.71-2.81, 1 B 2.86

## Properties
* total moment: 1.7 Bohr magnetons per cell
* mass density: 9.0 g/cm3

Relative calculated energies, zero for the most stable structure, unit kJ/mol of atoms: <1> 16.4; <2> 0.0.